The following is a DFT calculation (PBE) of an optimized crystal structure of NdCoSi2Ge.

CIF file:
```
data_NdCoSi2Ge
_chemical_formula_sum 'Nd1 Co1 Si2 Ge1'
_cell_length_a 5.696
_cell_length_b 5.696
_cell_length_c 5.696
_cell_angle_alpha 136.96
_cell_angle_beta 136.96
_cell_angle_gamma 62.50
_space_group_name_H-M_alt 'P 1'
_space_group_IT_number 1
loop_
_space_group_symop_operation_xyz
'x,y,z'
loop_
_atom_site_label
_atom_site_type_symbol
_atom_site_fract_x
_atom_site_fract_y
_atom_site_fract_z
Si1 Si 0.258 0.758 0.500
Ge1 Ge 0.429 0.429 0.000
Co1 Co 0.668 0.668 0.000
Si2 Si 0.758 0.258 0.500
Nd1 Nd 0.003 0.003 0.000
```

Computed properties:
Its symmetry is I4mm. The final energy is -6.0938 eV per atom. The value obtained for the spin magnetization is 0.0 μB per formula unit.